No. 1
Hg2MoAu | Alexandria via LeMat-Bulk | meta-GGA SCAN | PBEsol geometry; symmetry = F-43m, No. 216; crystal system = cubic; E above lowest polymorph = 213 meV/atom; E_form = 0.55 eV/atom; total DFT energy (no corrections) = -59.54 eV/atom
1.0
-3.3294 -0.6734 3.2494
0.1327 -3.8131 2.7459
1.0486 0.4245 4.5626
Au Mo Hg
1 1 2
Cartesian
-1.0741 -2.0310 5.2789
-0.5370 -1.0155 2.6395
0.0000 0.0000 0.0000
-1.6111 -3.0465 7.9184


No. 2
CoTe2IrN | Alexandria via LeMat-Bulk | meta-GGA SCAN | PBEsol geometry; formation energy (no corrections) = 537.4 meV per atom; symmetry = P4/mmm, No. 123; crystal system = tetragonal; total DFT energy (no corrections) = -33.90 eV/atom
1.0
-2.7362 1.6075 0.8281
0.2060 -2.0270 4.6154
2.7740 3.9025 1.5901
Te Co N Ir
2 1 1 1
Cartesian
1.3870 1.9513 0.7951
0.1030 -1.0135 2.3077
0.0000 0.0000 0.0000
-1.3681 0.8038 0.4141
0.1219 1.7415 3.5168


No. 3
TlOsBr2 | Alexandria via LeMat-Bulk | meta-GGA SCAN | PBEsol geometry; formation energy (no corrections) = 259.6 meV per atom; symmetry = Cm, No. 8; crystal system = monoclinic; total DFT energy (no corrections) = -45.53 eV/atom
1.0
-1.9272 0.4148 -3.0542
1.2998 -5.2313 0.6325
-4.8945 1.9807 3.3574
Br Tl Os
2 1 1
Cartesian
-4.5443 1.6393 3.0901
-2.3007 -2.6426 -1.0705
-2.9253 -0.5802 1.7670
-2.7570 -3.3052 1.2907


No. 4
In2Rh2Au | Alexandria via LeMat-Bulk | meta-GGA SCAN | PBEsol geometry; symmetry = P4/mbm, No. 127; crystal system = tetragonal; E_form = -0.27 eV/atom; total DFT energy (no corrections) = -40.97 eV/atom
1.0
-0.2566 -1.4129 -2.8063
5.6373 -4.4300 1.7148
-4.7123 -4.8788 2.8873
Rh In Au
4 4 2
Cartesian
-2.0194 -5.8284 3.1191
2.9444 -3.4804 1.4830
-0.9492 -2.3784 1.2843
1.8743 -6.9304 3.3179
-2.3337 -4.6628 0.7905
1.0037 -2.9946 -0.3546
3.0021 -6.0589 1.0054
-0.3354 -7.7271 2.1505
0.4625 -4.6544 2.3011
0.0000 0.0000 0.0000


No. 5
LiMn2Te | Alexandria via LeMat-Bulk | meta-GGA SCAN | PBEsol geometry; formation energy (no corrections) = -132.6 meV per atom; symmetry = P4mm, No. 99; crystal system = tetragonal; total DFT energy (no corrections) = -19.17 eV/atom
1.0
3.4098 0.0000 0.0000
0.0000 3.4098 0.0000
0.0000 0.0000 5.5625
Li Te Mn
1 1 2
Cartesian
1.7049 1.7049 4.2171
0.0000 0.0000 2.7312
1.7049 1.7049 1.3347
0.0000 0.0000 0.0608


No. 6
CaB2H14N2 | Alexandria via LeMat-Bulk | meta-GGA SCAN | PBEsol geometry; symmetry = Pbcn, No. 60; crystal system = orthorhombic; total DFT energy (no corrections) = -5.25 eV/atom
1.0
6.3492 0.0000 0.0000
0.0000 8.0304 0.0000
0.0000 0.0000 11.9493
N H B Ca
8 56 8 4
Cartesian
4.7910 1.9110 4.9271
1.6164 5.9263 1.0475
4.7328 2.1042 10.9018
4.7328 5.9263 4.9271
1.5582 1.9110 1.0475
1.5582 6.1194 7.0222
4.7910 6.1194 10.9018
1.6164 2.1042 7.0222
0.5654 4.4341 10.6502
1.1025 2.6433 9.9636
4.6629 3.7596 3.0000
0.5654 3.5963 4.6755
4.8957 6.8326 5.3835
2.5010 4.1528 4.7540
2.6092 7.6116 4.6755
5.6530 5.6104 4.5842
4.4939 5.2889 5.7003
3.7400 7.6116 1.2991
5.7838 3.5963 1.2991
1.8553 5.2889 0.2744
0.6962 5.6104 1.3904
4.6281 2.8174 5.3835
2.4784 6.4353 7.3651
3.8482 4.1528 1.2206
1.4883 7.7748 2.9746
5.7838 4.4341 7.2738
0.6736 7.8929 10.7287
5.0299 6.7568 11.6750
4.6629 4.2709 8.9747
1.7211 5.2131 6.5658
1.3193 1.2737 0.2744
2.0721 6.6585 9.9636
5.0299 1.2737 5.7003
1.4535 1.1979 6.5658
2.6092 0.4189 10.6502
2.5010 3.8777 10.7287
4.2771 6.6585 7.9604
1.6863 3.7596 2.9746
5.6756 0.1376 1.2206
1.8553 2.7415 6.2490
0.6736 0.1376 4.7540
4.2771 1.3719 1.9858
2.4784 1.5952 1.3904
4.4939 2.7415 11.6750
1.4883 0.2556 8.9493
1.4535 6.8326 0.5911
5.6756 7.8929 7.1953
5.2467 2.6433 7.9604
1.7211 2.8174 0.5911
5.6530 2.4201 10.5589
1.3193 6.7568 6.2490
5.2467 5.3871 1.9858
4.8957 1.1979 11.3582
0.6962 2.4201 7.3651
2.0721 1.3719 3.9889
1.6863 4.2709 8.9493
4.8609 0.2556 8.9747
3.8708 6.4353 10.5589
3.8708 1.5952 4.5842
4.6281 5.2131 11.3582
1.1025 5.3871 3.9889
3.8482 3.8777 7.1953
3.7400 0.4189 7.2738
4.8609 7.7748 3.0000
4.6307 7.8355 7.8493
4.8931 4.2101 1.8746
1.4561 3.8203 10.0747
4.6307 0.1949 1.8746
1.7185 0.1949 4.1001
1.4561 4.2101 4.1001
1.7185 7.8355 10.0747
4.8931 3.8203 7.8493
0.0000 1.9451 2.9873
0.0000 6.0854 8.9620
3.1746 2.0701 8.9620
3.1746 5.9603 2.9873